# 1
BTeP2N: single point on PBEsol structure, meta-GGA SCAN.

Geometry as POSCAR:
```
BTeP2N
1.0
-0.8281 2.4207 -2.5570
-3.5206 -0.6113 0.5615
-0.1061 4.9272 4.6990
B N Te P
1 1 1 2
Cartesian
-2.2274 3.3683 1.3518
0.0000 0.0000 0.0000
-0.0531 2.4636 2.3495
-0.4141 1.2103 -1.2785
-1.7603 -0.3057 0.2808
```

# 2
Cd3FeGe: single point on PBEsol structure, meta-GGA SCAN.

DFT formation energy	0.96	eV/atom

Geometry as POSCAR:
```
Cd3FeGe
1.0
5.0256 0.0000 0.0000
0.0000 5.0256 0.0000
0.0000 0.0000 5.0256
Cd Fe Ge
3 1 1
Cartesian
0.0000 2.5128 0.0000
2.5128 0.0000 0.0000
0.0000 0.0000 2.5128
2.5128 2.5128 2.5128
0.0000 0.0000 0.0000
```

# 3
CuWBr2: single point on PBEsol structure, meta-GGA SCAN.

distance to the lowest polymorph of the same formula	0.0	meV per atom

Geometry as POSCAR:
```
CuWBr2
1.0
-1.6027 -2.4395 0.8853
2.2014 -0.1135 3.6727
-4.9690 5.4065 0.6477
Br Cu W
2 1 1
Cartesian
-3.2596 2.8829 2.0429
-1.1107 -0.0294 3.1627
-0.8014 -1.2197 0.4426
1.1007 -0.0568 1.8363
```

# 4
LiCoPd2F: single point on PBEsol structure, meta-GGA SCAN.

Geometry as POSCAR:
```
LiCoPd2F
1.0
3.1020 0.0000 0.0000
0.0000 4.5565 0.0000
0.0000 0.0000 4.5565
Co Li F Pd
1 1 1 2
Cartesian
1.5510 2.2783 2.2783
0.0000 0.0000 0.0000
1.5510 0.0000 0.0000
0.0000 0.0000 2.2783
0.0000 2.2783 0.0000
```

# 5
Rb2AlB2: single point on PBEsol structure, meta-GGA SCAN.

DFT formation energy	0.69	eV/atom

Geometry as POSCAR:
```
Rb2AlB2
1.0
5.5568 0.0386 0.0000
-2.5725 4.9256 0.0000
-1.4921 -2.4821 4.7426
Rb Al B
2 1 2
Cartesian
-1.2863 2.4628 2.3713
2.7784 0.0193 2.3713
0.0000 0.0000 0.0000
1.9001 3.1607 0.0000
1.0842 1.8035 0.0000
```

# 6
YMnSb2: single point on PBEsol structure, meta-GGA SCAN.

Geometry as POSCAR:
```
YMnSb2
1.0
4.1279 0.0000 0.0000
2.0640 3.5749 0.0000
2.0640 1.1916 6.3700
Sb Mn Y
2 1 1
Cartesian
2.0640 1.1916 1.3029
6.1919 3.5749 5.0672
0.0000 0.0000 0.0000
4.1279 2.3833 3.1850
```

# 7
Mg2FeAs: single point on PBEsol structure, meta-GGA SCAN.

DFT formation energy	0.11	eV/atom

Geometry as POSCAR:
```
Mg2FeAs
1.0
-0.2499 -0.5018 2.9242
-2.4001 -1.3996 1.0705
3.1832 -8.3548 0.3541
Mg As Fe
2 1 1
Cartesian
0.4529 -7.7927 3.2489
0.0803 -2.4635 1.1000
0.2666 -5.1281 2.1745
0.0000 0.0000 0.0000
```

# 8
Sr4HfO6: single point on PBEsol structure, meta-GGA SCAN.

Geometry as POSCAR:
```
Sr4HfO6
1.0
-3.0062 3.1249 -5.4507
2.2782 -5.0908 -4.1721
-5.8555 -3.5829 1.1784
O Hf Sr
12 2 8
Cartesian
-4.7162 -1.8665 -5.4574
-6.8373 0.0467 -4.4330
-2.5398 -3.7938 -5.8878
-2.6268 1.2284 -6.2494
-6.2163 -2.8722 -0.7564
-3.9567 -6.7771 -2.1949
-0.3672 -2.6765 -7.6879
-4.6252 -4.3534 -3.8942
-1.8674 -3.6822 -2.9870
0.2537 -5.5955 -4.0113
-1.9583 -1.1954 -4.5501
-4.0437 -1.7549 -2.5566
0.0000 0.0000 0.0000
-3.2918 -2.7744 -4.2222
-2.7611 -1.2022 -7.1042
-6.4818 -2.5697 -3.3048
-3.8224 -4.3465 -1.3401
-1.6459 -1.3872 -2.1111
-4.9377 -4.1616 -6.3332
-0.1018 -2.9790 -5.1395
-4.3053 0.3896 -4.0758
-2.2783 -5.9384 -4.3685
```

# 9
Sr3TaSb: single point on PBEsol structure, meta-GGA SCAN.

Geometry as POSCAR:
```
Sr3TaSb
1.0
-4.9047 -0.2039 3.6233
-1.2889 -5.5967 -2.0596
3.3924 -2.4210 4.4560
Sr Ta Sb
3 1 1
Cartesian
1.6962 -1.2105 2.2280
-2.4524 -0.1019 1.8116
-0.6444 -2.7983 -1.0298
-1.4006 -4.1108 3.0098
0.0000 0.0000 0.0000
```

# 10
MnIn2Hg: single point on PBEsol structure, meta-GGA SCAN.

DFT formation energy	0.04	eV/atom

Geometry as POSCAR:
```
MnIn2Hg
1.0
3.0561 0.0000 0.0000
0.0000 3.1013 0.0000
0.0000 0.0000 8.5206
Mn In Hg
1 2 1
Cartesian
1.5280 1.5507 0.0000
0.0000 0.0000 1.7900
0.0000 0.0000 6.7306
1.5280 1.5507 4.2603
```

# 11
CaGa2Cu3Ru2O12: single point on PBEsol structure, meta-GGA SCAN.

distance to the lowest polymorph of the same formula	7.8	meV per atom

Geometry as POSCAR:
```
CaGa2Cu3Ru2O12
1.0
6.3422 -0.0184 -0.0020
-2.1659 5.9609 0.0020
-2.0836 -2.9745 5.2273
Cu O Ru Ga Ca
3 12 2 2 1
Cartesian
-2.1247 1.4932 2.6146
2.0881 2.9713 0.0000
2.1293 -1.4964 2.6126
2.0674 0.0978 1.5993
0.5458 2.3440 0.8808
1.5469 0.6241 4.3465
4.2816 1.4298 0.6969
-0.5682 0.3993 2.4873
-2.1889 1.5383 4.5304
2.6609 2.5687 2.7400
2.1558 4.6349 0.8808
3.6502 -1.0146 3.6260
-1.5575 3.9827 1.6013
0.0253 2.8703 3.6280
-0.0631 -1.6669 4.3465
-1.0830 2.9804 0.0010
3.1711 -0.0092 -0.0010
-1.0418 -1.4872 2.6136
1.0463 1.4840 2.6136
0.0000 0.0000 0.0000
```

# 12
SrB2F8: single point on PBEsol structure, meta-GGA SCAN.

Geometry as POSCAR:
```
SrB2F8
1.0
9.2507 0.0000 0.0000
0.0000 9.5907 0.0000
0.0000 0.0000 13.7733
F B Sr
64 16 8
Cartesian
2.0430 0.7158 7.7111
2.3111 4.8988 3.8568
6.6044 7.2821 11.2946
2.3142 0.1035 9.9166
6.6044 2.4868 9.3654
5.3181 3.5503 12.1521
6.6683 4.0796 7.7111
8.4818 6.1869 6.7433
3.6771 6.7261 8.5145
4.8796 8.8027 11.4956
5.4369 6.5643 7.0528
6.9364 4.6919 3.0299
5.3181 8.3457 8.5079
3.6771 1.9307 12.1455
7.2077 4.0796 0.8244
8.9964 4.0073 2.2777
0.8116 3.0265 13.6072
0.7689 3.4038 7.0300
8.4818 1.3915 0.1434
5.5736 7.6600 1.6278
6.9364 9.4873 3.8568
0.8116 7.8218 7.0528
2.6463 7.1040 4.4080
7.2716 7.2821 4.4080
5.3942 1.3915 7.0300
2.6463 2.3086 2.4787
1.9791 7.1040 11.2946
5.5736 2.8646 5.2588
8.4391 6.5643 0.1661
2.0430 5.5111 12.9489
2.3142 4.8988 10.7434
2.5824 0.7158 0.8244
8.5579 3.5503 5.2654
5.4369 1.7689 13.6072
4.3710 0.7881 2.2777
1.9791 2.3086 9.3654
4.8796 4.0073 9.1644
2.5824 5.5111 6.0622
6.9396 4.6919 9.9166
8.3024 7.6600 8.5145
6.9396 9.4873 10.7434
2.3111 0.1035 3.0299
0.7689 8.1992 13.6300
7.2716 2.4868 2.4787
0.2543 0.7881 9.1644
5.3942 6.1869 13.6300
3.9325 6.0404 1.6213
3.8564 8.1992 6.7433
6.6683 8.8750 12.9489
0.6928 1.2451 12.1521
0.9482 6.7261 1.6278
3.9325 1.2451 5.2654
3.8138 3.0265 6.7205
0.6928 6.0404 8.5079
3.8138 7.8218 0.1661
7.2077 8.8750 6.0622
4.3710 5.5834 4.6089
0.9482 1.9307 5.2588
8.3024 2.8646 12.1455
0.2543 5.5834 11.4956
8.5579 8.3457 1.6213
3.8564 3.4038 0.1434
8.9964 8.8027 4.6089
8.4391 1.7689 6.7205
2.9791 5.7731 4.7346
4.5649 2.6676 12.9449
7.6045 8.6130 4.7346
0.0605 7.4630 0.8284
7.6045 3.8177 2.1521
4.5649 7.4630 7.7151
6.2715 8.6130 11.6212
1.6462 5.7731 11.6212
0.0605 2.6676 6.0583
1.6462 0.9777 9.0388
4.6858 6.9231 0.8284
2.9791 0.9777 2.1521
4.6858 2.1277 6.0583
6.2715 3.8177 9.0388
9.1902 6.9231 7.7151
9.1902 2.1277 12.9449
6.6537 0.3260 1.4386
6.6537 5.1214 5.4480
7.2223 5.1214 12.3347
7.2223 0.3260 8.3253
2.5970 4.4694 8.3253
2.5970 9.2647 12.3347
2.0283 9.2647 5.4480
2.0283 4.4694 1.4386
```

# 13
SrMg4: single point on PBEsol structure, meta-GGA SCAN.

distance to the lowest polymorph of the same formula	0.0	meV per atom
DFT formation energy	0.01	eV/atom

Geometry as POSCAR:
```
SrMg4
1.0
5.3008 0.0000 0.0000
2.6504 5.0796 0.0000
2.6504 0.0000 5.0796
Mg Sr
4 1
Cartesian
5.3008 1.3245 3.3304
5.3008 3.7551 1.7492
7.9512 3.3304 3.7551
2.6504 1.7492 1.3245
0.0000 0.0000 0.0000
```

# 14
Ta2HgPb: single point on PBEsol structure, meta-GGA SCAN.

distance to the lowest polymorph of the same formula	0.0	meV per atom
DFT formation energy	0.43	eV/atom

Geometry as POSCAR:
```
Ta2HgPb
1.0
-3.2642 -0.8669 -0.3424
2.9229 -4.2972 -0.1574
-0.7093 0.7874 4.7683
Pb Ta Hg
1 2 1
Cartesian
-1.6321 -0.4334 -0.1712
-1.5122 -2.2038 3.1673
0.4615 -2.1728 1.1012
-0.3547 0.3937 2.3842
```

# 15
KNaZnC2: single point on PBEsol structure, meta-GGA SCAN.

DFT formation energy	2.48	eV/atom

Geometry as POSCAR:
```
KNaZnC2
1.0
-1.9786 -4.0695 0.0163
3.8187 -1.8504 1.5713
-1.4746 0.7347 4.4488
C Zn Na K
2 1 1 1
Cartesian
1.9094 -0.9252 0.7857
-0.9893 -2.0347 0.0081
0.1828 -2.5926 3.0182
0.0000 0.0000 0.0000
-0.7373 0.3674 2.2244
```

# 16
Li3GaBr: single point on PBEsol structure, meta-GGA SCAN.

Geometry as POSCAR:
```
Li3GaBr
1.0
-3.3467 -0.7855 3.3130
0.3987 -4.7039 -0.7125
3.3814 -0.2228 3.3630
Li Br Ga
3 1 1
Cartesian
0.1993 -2.3520 -0.3562
-1.6734 -0.3927 1.6565
1.6907 -0.1114 1.6815
0.0000 0.0000 0.0000
0.2167 -2.8561 2.9818
```

# 17
SrPAu2: single point on PBEsol structure, meta-GGA SCAN.

DFT formation energy	-0.26	eV/atom

Geometry as POSCAR:
```
SrPAu2
1.0
4.7933 -0.0162 -0.0241
-2.1698 4.2741 0.0241
-2.1698 -1.6003 3.9633
Au Sr P
2 1 1
Cartesian
0.0000 0.0000 0.0000
0.2269 2.7974 0.9969
0.2269 -0.1398 2.9664
-2.1698 1.3369 1.9937
```

# 18
Mn4Fe5: single point on PBEsol structure, meta-GGA SCAN.

DFT formation energy	0.12	eV/atom

Geometry as POSCAR:
```
Mn4Fe5
1.0
2.7649 0.0000 0.0000
1.3824 5.8885 0.0000
1.3824 0.0000 5.8885
Fe Mn
5 4
Cartesian
2.7649 0.0000 3.9268
2.7649 3.9268 0.0000
1.3824 1.9617 0.0000
1.3824 0.0000 1.9617
0.0000 0.0000 0.0000
2.7649 1.9927 1.9927
2.7649 3.8958 3.8958
1.3824 1.9927 3.8958
1.3824 3.8958 1.9927
```

# 19
In3TeRu: single point on PBEsol structure, meta-GGA SCAN.

Geometry as POSCAR:
```
In3TeRu
1.0
-1.2401 3.7519 3.8582
1.9228 -3.3891 3.9137
5.0265 2.2221 -0.5453
Te In Ru
1 3 1
Cartesian
0.0000 0.0000 0.0000
2.5132 1.1110 -0.2726
0.9614 -1.6946 1.9569
-0.6201 1.8760 1.9291
2.8546 1.2924 3.6134
```

# 20
ErIn5Rh: single point on PBEsol structure, meta-GGA SCAN.

DFT formation energy	-0.51	eV/atom

Geometry as POSCAR:
```
ErIn5Rh
1.0
4.5711 0.0000 0.0000
0.0000 4.5711 0.0000
0.0000 0.0000 7.3259
In Er Rh
5 1 1
Cartesian
0.0000 2.2855 5.1378
2.2855 0.0000 5.1378
2.2855 2.2855 0.0000
2.2855 0.0000 2.1881
0.0000 2.2855 2.1881
0.0000 0.0000 0.0000
0.0000 0.0000 3.6630
```

# 21
Ta3GaSb: single point on PBEsol structure, meta-GGA SCAN.

Geometry as POSCAR:
```
Ta3GaSb
1.0
4.9613 0.0000 0.0000
0.0000 4.9613 0.0000
0.0000 0.0000 4.9613
Ta Sb Ga
3 1 1
Cartesian
0.0000 0.0000 2.4807
2.4807 0.0000 0.0000
0.0000 2.4807 0.0000
0.0000 0.0000 0.0000
2.4807 2.4807 2.4807
```

# 22
BaSr2MgPd: single point on PBEsol structure, meta-GGA SCAN.

DFT formation energy	-0.24	eV/atom

Geometry as POSCAR:
```
BaSr2MgPd
1.0
-0.1995 3.8568 -4.4047
-4.0760 -3.2552 -2.6657
-4.3702 3.0926 2.9058
Mg Sr Pd Ba
1 2 1 1
Cartesian
-4.3228 1.8471 -2.0823
-0.0997 1.9284 -2.2023
-2.0380 -1.6276 -1.3328
0.0000 0.0000 0.0000
-2.1851 1.5463 1.4529
```

Number 1: energy -13.43 eV per atom. Number 2: energy -24.73 eV per atom. Number 3: energy -30.54 eV per atom. Number 4: energy -18.00 eV per atom. Number 5: energy -12.13 eV per atom. Number 6: energy -30.73 eV per atom. Number 7: energy -11.96 eV per atom. Number 8: energy -20.45 eV per atom. Number 9: energy -33.49 eV per atom. Number 10: energy -38.25 eV per atom. Number 11: energy -13.13 eV per atom. Number 12: energy -9.37 eV per atom. Number 13: energy -8.43 eV per atom. Number 14: energy -68.85 eV per atom. Number 15: energy -6.77 eV per atom. Number 16: energy -9.00 eV per atom. Number 17: energy -43.01 eV per atom. Number 18: energy -18.07 eV per atom. Number 19: energy -33.03 eV per atom. Number 20: energy -36.37 eV per atom. Number 21: energy -48.68 eV per atom. Number 22: energy -24.61 eV per atom.